(1)
# GGA-PBE Pr2Sm7Er2, optimized geometry
# energy of formation = 124 meV/atom
# energy above the lowest structure with this stoichiometry = 0.0 kJ per mole of atoms
data_Pr2Sm7Er2
_chemical_formula_sum 'Pr8 Sm28 Er8'
_cell_length_a 8.913
_cell_length_b 15.373
_cell_length_c 11.245
_cell_angle_alpha 90.00
_cell_angle_beta 104.56
_cell_angle_gamma 90.00
_space_group_name_H-M_alt 'C 1 2/c 1'
_space_group_IT_number 15
loop_
_space_group_symop_operation_xyz
'x,y,z'
'-x,-y,-z'
'-x,y,-z+1/2'
'x,-y,z+1/2'
'x+1/2,y+1/2,z'
'-x+1/2,-y+1/2,-z'
'-x+1/2,y+1/2,-z+1/2'
'x+1/2,-y+1/2,z+1/2'
loop_
_atom_site_label
_atom_site_type_symbol
_atom_site_fract_x
_atom_site_fract_y
_atom_site_fract_z
_atom_site_occupancy
Pr1 Pr 0.214 0.130 0.487 1
Sm1 Sm 0.000 0.084 0.750 1
Sm2 Sm 0.051 0.287 0.927 1
Sm3 Sm 0.086 0.475 0.138 1
Sm4 Sm 0.165 0.072 0.088 1
Er1 Er 0.184 0.270 0.241 1

---

(2)
# GGA-PBE BaNa2P2, optimized geometry
# energy of formation = -186 meV/atom
# energy above the lowest structure with this stoichiometry = 39.5 kJ per mole of atoms
data_BaNa2P2
_chemical_formula_sum 'Ba2 Na4 P4'
_cell_length_a 8.775
_cell_length_b 8.775
_cell_length_c 3.314
_cell_angle_alpha 90.00
_cell_angle_beta 90.00
_cell_angle_gamma 90.00
_space_group_name_H-M_alt 'P 4/m b m'
_space_group_IT_number 127
_space_group_name_Hall '-P 4 2ab'
loop_
_atom_site_label
_atom_site_type_symbol
_atom_site_fract_x
_atom_site_fract_y
_atom_site_fract_z
_atom_site_occupancy
Ba1 Ba 0.000 0.000 0.000 1
Na1 Na 0.118 0.382 0.500 1
P1 P 0.178 0.678 0.000 1

---

(3)
# GGA-PBE Rb2UTeS5, optimized geometry
# formation energy without anion corrections = -0.890 eV/atom
data_Rb2UTeS5
_chemical_formula_sum 'Rb8 U4 Te4 S20'
_cell_length_a 4.018
_cell_length_b 21.277
_cell_length_c 12.983
_cell_angle_alpha 90.00
_cell_angle_beta 90.00
_cell_angle_gamma 90.00
_space_group_name_H-M_alt 'C m c 21'
_space_group_IT_number 36
loop_
_space_group_symop_operation_xyz
'x,y,z'
'-x,-y,z+1/2'
'-x,y,z'
'x,-y,z+1/2'
'x+1/2,y+1/2,z'
'-x+1/2,-y+1/2,z+1/2'
'-x+1/2,y+1/2,z'
'x+1/2,-y+1/2,z+1/2'
loop_
_atom_site_label
_atom_site_type_symbol
_atom_site_fract_x
_atom_site_fract_y
_atom_site_fract_z
_atom_site_occupancy
Rb1 Rb 0.000 0.126 0.000 1
Rb2 Rb 0.000 0.128 0.589 1
U1 U 0.000 0.225 0.295 1
Te1 Te 0.000 0.490 0.761 1
S1 S 0.000 0.104 0.299 1
S2 S 0.000 0.280 0.924 1
S3 S 0.000 0.282 0.666 1
S4 S 0.000 0.341 0.294 1
S5 S 0.000 0.496 0.583 1

---

(4)
# GGA-PBE Nd6Dy2Tl, optimized geometry
# energy of formation = 19 meV/atom
# energy above the lowest structure with this stoichiometry = 0.0 kJ per mole of atoms
data_Nd6Dy2Tl
_chemical_formula_sum 'Nd12 Dy4 Tl2'
_cell_length_a 16.723
_cell_length_b 10.124
_cell_length_c 3.485
_cell_angle_alpha 90.00
_cell_angle_beta 90.07
_cell_angle_gamma 90.00
_space_group_name_H-M_alt 'C 1 2/m 1'
_space_group_IT_number 12
loop_
_space_group_symop_operation_xyz
'x,y,z'
'-x,-y,-z'
'-x,y,-z'
'x,-y,z'
'x+1/2,y+1/2,z'
'-x+1/2,-y+1/2,-z'
'-x+1/2,y+1/2,-z'
'x+1/2,-y+1/2,z'
loop_
_atom_site_label
_atom_site_type_symbol
_atom_site_fract_x
_atom_site_fract_y
_atom_site_fract_z
_atom_site_occupancy
Nd1 Nd 0.000 0.164 0.000 1
Nd2 Nd 0.162 0.343 0.997 1
Dy1 Dy 0.166 0.000 0.501 1
Tl1 Tl 0.000 0.500 0.500 1

---

(5)
# GGA-PBE K2ZrPt, optimized geometry
# energy of formation = -22 meV/atom
# energy above the lowest structure with this stoichiometry = 8.2 kJ per mole of atoms
data_K2ZrPt
_chemical_formula_sum 'K4 Zr2 Pt2'
_cell_length_a 6.973
_cell_length_b 4.004
_cell_length_c 11.473
_cell_angle_alpha 90.00
_cell_angle_beta 100.56
_cell_angle_gamma 90.00
_space_group_name_H-M_alt 'C 1 m 1'
_space_group_IT_number 8
loop_
_space_group_symop_operation_xyz
'x,y,z'
'x,-y,z'
'x+1/2,y+1/2,z'
'x+1/2,-y+1/2,z'
loop_
_atom_site_label
_atom_site_type_symbol
_atom_site_fract_x
_atom_site_fract_y
_atom_site_fract_z
_atom_site_occupancy
K1 K 0.000 0.000 0.000 1
K2 K 0.194 0.000 0.620 1
Zr1 Zr 0.430 0.000 0.317 1
Pt1 Pt 0.231 0.500 0.213 1

---

(6)
# GGA-PBE TbPrDyEr, optimized geometry
# energy of formation = 124 meV/atom
# energy above the lowest structure with this stoichiometry = 0.0 kJ per mole of atoms
data_TbPrDyEr
_chemical_formula_sum 'Tb4 Pr4 Dy4 Er4'
_cell_length_a 8.069
_cell_length_b 8.069
_cell_length_c 8.069
_cell_angle_alpha 90.00
_cell_angle_beta 90.00
_cell_angle_gamma 90.00
_space_group_name_H-M_alt 'F -4 3 m'
_space_group_IT_number 216
_space_group_name_Hall 'F -4 2 3'
loop_
_atom_site_label
_atom_site_type_symbol
_atom_site_fract_x
_atom_site_fract_y
_atom_site_fract_z
_atom_site_occupancy
Tb1 Tb 0.000 0.000 0.000 1
Pr1 Pr 0.000 0.000 0.500 1
Dy1 Dy 0.250 0.250 0.250 1
Er1 Er 0.250 0.250 0.750 1

---

Uncorrected energy (eV per cell)
-201.40; -32.62; -180.05; -80.01; -33.74; -72.31
Total magnetization (μB per atom)
0.000; 0.000; 0.038; 0.000; 0.000; 0.000